Compound: La4CrRe
Source: the Alexandria database
Functional: SCAN
Structure: PBEsol geometry

Properties
- total moment (μB/f.u.) = 4.3
- formation energy from the elements (eV/f.u.) = 6.63

Cell lengths 8.5565, 8.5565, 8.5565 Å; angles 90.00, 90.00, 90.00 degrees
Closest atoms and distances in Å follow each position.
Space group F-43m (No. 216)
Inequivalent atoms, fractional coordinates:
La (0.1243, 0.1243, 0.3757) (multiplicity 16)  6 La 3.01-3.04
Cr (0.0000, 0.0000, 0.0000) (multiplicity 4)  12 La 3.55, 4 Re 3.71
Re (0.2500, 0.2500, 0.7500) (multiplicity 4)  12 La 3.55, 4 Cr 3.71